# 1
# KBaMnF6 (PBE with a Hubbard U, optimized geometry)
# Space-group type: C2 (5)
# E_tot, eV/cell: -47.6
data_KBaMnF6
_chemical_formula_sum 'K1 Ba1 Mn1 F6'
_symmetry_space_group_name_H-M 'P 1'
_symmetry_Int_Tables_number 1
_cell_length_a 6.027
_cell_length_b 6.013
_cell_length_c 5.279
_cell_angle_alpha 89.89
_cell_angle_beta 89.78
_cell_angle_gamma 59.90
loop_
_symmetry_equiv_pos_as_xyz
'x,y,z'
loop_
_atom_site_label
_atom_site_type_symbol
_atom_site_fract_x
_atom_site_fract_y
_atom_site_fract_z
_atom_site_occupancy
K1 K 0.667 0.666 0.500 1
Ba1 Ba 0.999 0.001 0.000 1
Mn1 Mn 0.333 0.334 0.500 1
F1 F 0.076 0.318 0.285 1
F2 F 0.319 0.077 0.712 1
F3 F 0.606 0.318 0.715 1
F4 F 0.077 0.604 0.712 1
F5 F 0.319 0.604 0.288 1
F6 F 0.604 0.077 0.288 1

# 2
# K2BaMnF6 (PBE with a Hubbard U, optimized geometry)
# Space-group type: P2_1/c (14)
# E_tot, eV/cell: -106.5
data_K2BaMnF6
_chemical_formula_sum 'K4 Ba2 Mn2 F12'
_symmetry_space_group_name_H-M 'P 1'
_symmetry_Int_Tables_number 1
_cell_length_a 6.324
_cell_length_b 6.540
_cell_length_c 9.050
_cell_angle_alpha 90.00
_cell_angle_beta 90.89
_cell_angle_gamma 90.00
loop_
_symmetry_equiv_pos_as_xyz
'x,y,z'
loop_
_atom_site_label
_atom_site_type_symbol
_atom_site_fract_x
_atom_site_fract_y
_atom_site_fract_z
_atom_site_occupancy
K1 K 0.017 0.949 0.251 1
K2 K 0.517 0.551 0.751 1
K3 K 0.983 0.051 0.749 1
K4 K 0.483 0.449 0.249 1
Ba1 Ba 0.500 0.000 0.000 1
Ba2 Ba 0.000 0.500 0.500 1
Mn1 Mn 0.500 0.000 0.500 1
Mn2 Mn 0.000 0.500 0.000 1
F1 F 0.272 0.682 0.054 1
F2 F 0.772 0.818 0.554 1
F3 F 0.728 0.318 0.946 1
F4 F 0.228 0.182 0.446 1
F5 F 0.324 0.727 0.435 1
F6 F 0.824 0.773 0.935 1
F7 F 0.676 0.273 0.565 1
F8 F 0.176 0.227 0.065 1
F9 F 0.890 0.550 0.224 1
F10 F 0.390 0.950 0.724 1
F11 F 0.110 0.450 0.776 1
F12 F 0.610 0.050 0.276 1

# 3
# KBa2MoF8 (PBE with a Hubbard U, optimized geometry)
# Space-group type: P2/m (10)
# E_tot, eV/cell: -66.1
data_KBa2MoF8
_chemical_formula_sum 'K1 Ba2 Mo1 F8'
_symmetry_space_group_name_H-M 'P 1'
_symmetry_Int_Tables_number 1
_cell_length_a 4.528
_cell_length_b 5.891
_cell_length_c 8.467
_cell_angle_alpha 90.00
_cell_angle_beta 90.00
_cell_angle_gamma 96.80
loop_
_symmetry_equiv_pos_as_xyz
'x,y,z'
loop_
_atom_site_label
_atom_site_type_symbol
_atom_site_fract_x
_atom_site_fract_y
_atom_site_fract_z
_atom_site_occupancy
K1 K 0.000 0.000 0.500 1
Ba1 Ba 0.500 0.500 0.753 1
Ba2 Ba 0.500 0.500 0.247 1
Mo1 Mo 0.000 0.000 0.000 1
F1 F 0.052 0.770 0.192 1
F2 F 0.589 0.789 0.000 1
F3 F 0.948 0.230 0.192 1
F4 F 0.948 0.230 0.808 1
F5 F 0.411 0.211 0.000 1
F6 F 0.052 0.770 0.808 1
F7 F 0.476 0.740 0.500 1
F8 F 0.524 0.260 0.500 1

# 4
# K2BaMoF6 (PBE with a Hubbard U, optimized geometry)
# Space-group type: Pmmn (59)
# E_tot, eV/cell: -99.3
data_K2BaMoF6
_chemical_formula_sum 'K4 Ba2 Mo2 F12'
_symmetry_space_group_name_H-M 'P 1'
_symmetry_Int_Tables_number 1
_cell_length_a 6.232
_cell_length_b 7.352
_cell_length_c 9.199
_cell_angle_alpha 90.00
_cell_angle_beta 90.00
_cell_angle_gamma 90.00
loop_
_symmetry_equiv_pos_as_xyz
'x,y,z'
loop_
_atom_site_label
_atom_site_type_symbol
_atom_site_fract_x
_atom_site_fract_y
_atom_site_fract_z
_atom_site_occupancy
K1 K 0.500 0.837 0.195 1
K2 K 0.000 0.163 0.695 1
K3 K 0.500 0.837 0.805 1
K4 K 0.000 0.163 0.305 1
Ba1 Ba 0.000 0.686 0.500 1
Ba2 Ba 0.500 0.314 0.000 1
Mo1 Mo 0.500 0.193 0.500 1
Mo2 Mo 0.000 0.807 0.000 1
F1 F 0.500 0.192 0.264 1
F2 F 0.500 0.192 0.736 1
F3 F 0.000 0.808 0.236 1
F4 F 0.000 0.808 0.764 1
F5 F 0.258 0.965 0.500 1
F6 F 0.742 0.965 0.500 1
F7 F 0.243 0.408 0.500 1
F8 F 0.757 0.408 0.500 1
F9 F 0.743 0.592 0.000 1
F10 F 0.257 0.592 0.000 1
F11 F 0.242 0.035 0.000 1
F12 F 0.758 0.035 0.000 1